## Na2CaNiF6 (GGA+U)

Data for an optimized crystal structure of Na2CaNiF6.

Geometry as CIF:
```
data_Na2CaNiF6
_chemical_formula_sum 'Na4 Ca2 Ni2 F12'
_space_group_name_H-M_alt 'P 1 21/c 1'
_space_group_IT_number 14
_cell_length_a 5.599
_cell_length_b 5.824
_cell_length_c 9.796
_cell_angle_alpha 90.00
_cell_angle_beta 124.04
_cell_angle_gamma 90.00
loop_
_space_group_symop_operation_xyz
'x,y,z'
'-x,-y,-z'
'-x,y+1/2,-z+1/2'
'x,-y+1/2,z+1/2'
loop_
_atom_site_label
_atom_site_type_symbol
_atom_site_fract_x
_atom_site_fract_y
_atom_site_fract_z
_atom_site_occupancy
Na1 Na 0.233 0.058 0.249 1
Ca1 Ca 0.500 0.000 0.000 1
Ni1 Ni 0.000 0.000 0.500 1
F1 F 0.108 0.208 0.932 1
F2 F 0.231 0.682 0.938 1
F3 F 0.358 0.056 0.736 1
```

total magnetic moment: 0.19 μB/atom
DOS(E_F): 0.000 states/eV/cell
DFT total energy: -4.77 eV per atom